1.
12
Lattice="5.992 0.000 0.000 -2.996 5.190 0.000 0.000 0.000 9.680" Properties=species:S:1:pos:R:3 comment="DyMg2 PBEsol relaxed" ef_kj_per_mol_atoms=-5.1 volume_a3_per_atom=25.1 pbc="T T T"
Dy 0.000 3.460 0.620
Dy 0.000 3.460 4.220
Dy 2.996 1.730 5.459
Dy 2.996 1.730 9.060
Mg 0.000 0.000 0.000
Mg 0.000 0.000 4.840
Mg 0.000 1.776 7.260
Mg -1.458 4.302 7.260
Mg 1.538 0.888 2.420
Mg 1.458 4.302 7.260
Mg 4.454 0.888 2.420
Mg 2.996 3.414 2.420

---

2.
5
Lattice="5.241 0.000 0.000 0.000 5.241 0.000 0.000 0.000 4.910" Properties=species:S:1:pos:R:3 comment="CsAgNF2 PBEsol relaxed" formation_energy_uncorrected_ev_per_atom=0.4366 volume_a3_per_atom=27.0 pbc="T T T"
Cs 0.000 0.000 0.000
Ag 2.621 2.621 2.455
N 0.000 0.000 2.455
F 0.000 2.621 0.000
F 2.621 0.000 0.000

---

3.
5
Lattice="4.851 0.000 0.000 0.000 4.851 0.000 0.000 0.000 4.851" Properties=species:S:1:pos:R:3 comment="YMgCl3 PBEsol relaxed" formation_energy_uncorrected_ev_per_atom=-1.0613 volume_a3_per_atom=22.8 pbc="T T T"
Y 0.000 0.000 0.000
Mg 2.426 2.426 2.426
Cl 0.000 2.426 2.426
Cl 2.426 0.000 2.426
Cl 2.426 2.426 0.000

---

4.
10
Lattice="0.000 5.516 5.516 5.516 0.000 5.516 5.516 5.516 0.000" Properties=species:S:1:pos:R:3 comment="Cs2InSbCl6 PBEsol relaxed" formation_energy_uncorrected_ev_per_atom=-1.3431 volume_a3_per_atom=33.6 pbc="T T T"
Cs 2.758 2.758 2.758
Cs 8.273 8.273 8.273
In 0.000 0.000 0.000
Sb 5.516 5.516 5.516
Cl 5.516 5.516 2.872
Cl 5.516 2.872 5.516
Cl 8.159 5.516 5.516
Cl 2.872 5.516 5.516
Cl 5.516 8.159 5.516
Cl 5.516 5.516 8.159